Below is a geometry-optimized Tl3GeBi3S8 structure, with properties calculated at the PBE level.

abc: 8.030 8.031 8.933
angles: 116.68 90.00 120.00
Sites, in units of the cell vectors:
Tl: 0.000 0.000 0.000
Tl: 0.000 0.500 0.000
Tl: 0.500 0.500 0.000
Ge: 0.000 0.000 0.500
Bi: 0.500 0.000 0.500
Bi: 0.500 0.500 0.500
Bi: 0.000 0.500 0.500
S: 0.263 0.526 0.288
S: 0.737 0.474 0.712
S: 0.792 0.584 0.312
S: 0.208 0.416 0.688
S: 0.792 0.020 0.312
S: 0.208 0.980 0.688
S: 0.228 0.020 0.312
S: 0.772 0.980 0.688

Computed properties:
- Calculated density: 6.1 Mg/m³
- DFT total energy: -0.3011 Ry/atom